Model A:
Density functional theory data (PBE) for a geometry-optimized Ba2ZrH structure.

It has space group Fm-3m (No. 225), with a = 8.339 Å, b = 8.339 Å, c = 8.339 Å, α = 90.00°, β = 90.00° and γ = 90.00°. The inequivalent atoms are Ba at (0.250, 0.250, 0.250), Zr at (0.000, 0.000, 0.000) and H at (0.000, 0.000, 0.500).

The calculation puts the mass density at 4.2 g/cm³.

Model B:
Density functional theory data (PBE) for a geometry-optimized Ba2ZrH structure.

It has space group I-42d (No. 122), with a = 7.931 Å, b = 7.931 Å, c = 8.268 Å, α = 90.00°, β = 90.00° and γ = 90.00°. The inequivalent atoms are Ba at (0.138, 0.250, 0.125), Zr at (0.000, 0.000, 0.500) and H at (0.000, 0.000, 0.000).

The calculation puts the mass density at 4.7 g/cm³.

Bottom line: model B, by a margin of 0.401 eV/atom.

Model A:
Density functional theory data (PBE) for a geometry-optimized BaZrH2 structure.

It has space group Fm-3m (No. 225), with a = 6.527 Å, b = 6.527 Å, c = 6.527 Å, α = 90.00°, β = 90.00° and γ = 90.00°. The inequivalent atoms are Ba at (0.000, 0.000, 0.000), Zr at (0.000, 0.000, 0.500) and H at (0.250, 0.250, 0.250).

The calculation puts the mass density at 5.5 g/cm³.

Model B:
Density functional theory data (PBE) for a geometry-optimized BaZrH2 structure.

It has space group I-42d (No. 122), with a = 6.034 Å, b = 6.034 Å, c = 8.060 Å, α = 90.00°, β = 90.00° and γ = 90.00°. The inequivalent atoms are Ba at (0.000, 0.000, 0.000), Zr at (0.000, 0.000, 0.500) and H at (0.155, 0.250, 0.625).

The calculation puts the mass density at 5.2 g/cm³.

Bottom line: model B, by a margin of 0.684 eV/atom.

Model A:
Density functional theory data (PBE) for a geometry-optimized BaZrH3 structure.

It has space group Pm-3m (No. 221), with a = 4.241 Å, b = 4.241 Å, c = 4.241 Å, α = 90.00°, β = 90.00° and γ = 90.00°. The inequivalent atoms are Ba at (0.000, 0.000, 0.000), Zr at (0.500, 0.500, 0.500) and H at (0.000, 0.500, 0.500).

The calculation puts the mass density at 5.0 g/cm³.

Model B:
Density functional theory data (PBE) for a geometry-optimized BaZrH3 structure.

It has space group Pm-3m (No. 221), with a = 4.645 Å, b = 4.645 Å, c = 4.645 Å, α = 90.00°, β = 90.00° and γ = 90.00°. The inequivalent atoms are Ba at (0.000, 0.000, 0.000), Zr at (0.500, 0.500, 0.500) and H at (0.000, 0.000, 0.500).

The calculation puts the mass density at 3.8 g/cm³.

Bottom line: model A, by a margin of 1.028 eV/atom.

Model A:
Density functional theory data (PBE) for a geometry-optimized BaHfHg3 structure.

It has space group Pm-3m (No. 221), with a = 6.093 Å, b = 6.093 Å, c = 6.093 Å, α = 90.00°, β = 90.00° and γ = 90.00°. The inequivalent atoms are Ba at (0.000, 0.000, 0.000), Hf at (0.500, 0.500, 0.500) and Hg at (0.000, 0.000, 0.500).

The calculation puts the mass density at 6.7 g/cm³.

Model B:
Density functional theory data (PBE) for a geometry-optimized BaHfHg3 structure.

It has space group Pm-3m (No. 221), with a = 5.560 Å, b = 5.560 Å, c = 5.560 Å, α = 90.00°, β = 90.00° and γ = 90.00°. The inequivalent atoms are Ba at (0.000, 0.000, 0.000), Hf at (0.500, 0.500, 0.500) and Hg at (0.000, 0.500, 0.500).

The calculation puts the mass density at 8.9 g/cm³.

Bottom line: model B, by a margin of 1.119 eV/atom.

Model A:
Density functional theory data (PBE) for a geometry-optimized BaHf2TcHg structure.

It has space group P4/mmm (No. 123), with a = 5.317 Å, b = 5.317 Å, c = 5.210 Å, α = 90.00°, β = 90.00° and γ = 90.00°. The inequivalent atoms are Ba at (0.000, 0.000, 0.000), Hf at (0.000, 0.500, 0.500), Tc at (0.500, 0.500, 0.000) and Hg at (0.500, 0.500, 0.500).

The calculation puts the mass density at 8.9 g/cm³.

Model B:
Density functional theory data (PBE) for a geometry-optimized BaHf2TcHg structure.

It has space group P4/mmm (No. 123), with a = 5.279 Å, b = 5.279 Å, c = 4.909 Å, α = 90.00°, β = 90.00° and γ = 90.00°. The inequivalent atoms are Ba at (0.000, 0.000, 0.000), Hf at (0.000, 0.500, 0.000), Tc at (0.000, 0.000, 0.500) and Hg at (0.500, 0.500, 0.500).

The calculation puts the mass density at 9.6 g/cm³.

Bottom line: model A, by a margin of 0.857 eV/atom.

Model A:
Density functional theory data (PBE) for a geometry-optimized BaHf3I structure.

It has space group Pm-3m (No. 221), with a = 5.410 Å, b = 5.410 Å, c = 5.410 Å, α = 90.00°, β = 90.00° and γ = 90.00°. The inequivalent atoms are Ba at (0.000, 0.000, 0.000), Hf at (0.000, 0.500, 0.500) and I at (0.500, 0.500, 0.500).

The calculation puts the mass density at 8.4 g/cm³.

Model B:
Density functional theory data (PBE) for a geometry-optimized BaHf3I structure.

It has space group Pm-3m (No. 221), with a = 5.426 Å, b = 5.426 Å, c = 5.426 Å, α = 90.00°, β = 90.00° and γ = 90.00°. The inequivalent atoms are Ba at (0.000, 0.000, 0.000), Hf at (0.000, 0.000, 0.500) and I at (0.500, 0.500, 0.500).

The calculation puts the mass density at 8.3 g/cm³.

Bottom line: model A, by a margin of 1.077 eV/atom.

Model A:
Density functional theory data (PBE) for a geometry-optimized Ba2HfI structure.

It has space group Fm-3m (No. 225), with a = 8.700 Å, b = 8.700 Å, c = 8.700 Å, α = 90.00°, β = 90.00° and γ = 90.00°. The inequivalent atoms are Ba at (0.250, 0.250, 0.250), Hf at (0.000, 0.000, 0.000) and I at (0.000, 0.000, 0.500).

The calculation puts the mass density at 5.9 g/cm³.

Model B:
Density functional theory data (PBE) for a geometry-optimized Ba2HfI structure.

It has space group I-42d (No. 122), with a = 9.351 Å, b = 9.351 Å, c = 7.894 Å, α = 90.00°, β = 90.00° and γ = 90.00°. The inequivalent atoms are Ba at (0.245, 0.250, 0.125), Hf at (0.000, 0.000, 0.500) and I at (0.000, 0.000, 0.000).

The calculation puts the mass density at 5.6 g/cm³.

Bottom line: model A, by a margin of 0.069 eV/atom.

Model A:
Density functional theory data (PBE) for a geometry-optimized BaHf2I structure.

It has space group Fm-3m (No. 225), with a = 7.594 Å, b = 7.594 Å, c = 7.594 Å, α = 90.00°, β = 90.00° and γ = 90.00°. The inequivalent atoms are Ba at (0.000, 0.000, 0.000), Hf at (0.250, 0.250, 0.250) and I at (0.000, 0.000, 0.500).

The calculation puts the mass density at 9.4 g/cm³.

Model B:
Density functional theory data (PBE) for a geometry-optimized BaHf2I structure.

It has space group I-42d (No. 122), with a = 4.564 Å, b = 4.564 Å, c = 23.165 Å, α = 90.00°, β = 90.00° and γ = 90.00°. The inequivalent atoms are Ba at (0.000, 0.000, 0.000), Hf at (0.234, 0.250, 0.625) and I at (0.000, 0.000, 0.500).

The calculation puts the mass density at 8.6 g/cm³.

Bottom line: model B, by a margin of 0.403 eV/atom.

Model A:
Density functional theory data (PBE) for a geometry-optimized BaHfI2N structure.

It has space group P4/mmm (No. 123), with a = 5.964 Å, b = 5.964 Å, c = 4.129 Å, α = 90.00°, β = 90.00° and γ = 90.00°. The inequivalent atoms are Ba at (0.000, 0.000, 0.000), Hf at (0.500, 0.500, 0.500), I at (0.000, 0.500, 0.500) and N at (0.500, 0.500, 0.000).

The calculation puts the mass density at 6.6 g/cm³.

Model B:
Density functional theory data (PBE) for a geometry-optimized BaHfI2N structure.

It has space group P4/mmm (No. 123), with a = 6.605 Å, b = 6.605 Å, c = 4.356 Å, α = 90.00°, β = 90.00° and γ = 90.00°. The inequivalent atoms are Ba at (0.000, 0.000, 0.000), Hf at (0.500, 0.500, 0.500), I at (0.000, 0.500, 0.000) and N at (0.000, 0.000, 0.500).

The calculation puts the mass density at 5.1 g/cm³.

Bottom line: model A, by a margin of 1.675 eV/atom.

Model A:
Density functional theory data (PBE) for a geometry-optimized BaHfIN2 structure.

It has space group P4/mmm (No. 123), with a = 4.464 Å, b = 4.464 Å, c = 5.670 Å, α = 90.00°, β = 90.00° and γ = 90.00°. The inequivalent atoms are Ba at (0.000, 0.000, 0.000), Hf at (0.500, 0.500, 0.500), I at (0.500, 0.500, 0.000) and N at (0.000, 0.500, 0.500).

The calculation puts the mass density at 6.9 g/cm³.

Model B:
Density functional theory data (PBE) for a geometry-optimized BaHfIN2 structure.

It has space group P4/mmm (No. 123), with a = 4.609 Å, b = 4.609 Å, c = 6.293 Å, α = 90.00°, β = 90.00° and γ = 90.00°. The inequivalent atoms are Ba at (0.000, 0.000, 0.000), Hf at (0.500, 0.500, 0.500), I at (0.000, 0.000, 0.500) and N at (0.000, 0.500, 0.000).

The calculation puts the mass density at 5.8 g/cm³.

Bottom line: model A, by a margin of 2.128 eV/atom.

Model A:
Density functional theory data (PBE) for a geometry-optimized BaHfSbI2 structure.

It has space group P4/mmm (No. 123), with a = 6.395 Å, b = 6.395 Å, c = 6.840 Å, α = 90.00°, β = 90.00° and γ = 90.00°. The inequivalent atoms are Ba at (0.000, 0.000, 0.000), Hf at (0.500, 0.500, 0.500), Sb at (0.000, 0.000, 0.500) and I at (0.000, 0.500, 0.000).

The calculation puts the mass density at 4.1 g/cm³.

Model B:
Density functional theory data (PBE) for a geometry-optimized BaHfSbI2 structure.

It has space group P4/mmm (No. 123), with a = 5.709 Å, b = 5.709 Å, c = 5.682 Å, α = 90.00°, β = 90.00° and γ = 90.00°. The inequivalent atoms are Ba at (0.000, 0.000, 0.000), Hf at (0.500, 0.500, 0.500), Sb at (0.500, 0.500, 0.000) and I at (0.000, 0.500, 0.500).

The calculation puts the mass density at 6.2 g/cm³.

Bottom line: model B, by a margin of 1.247 eV/atom.

Model A:
Density functional theory data (PBE) for a geometry-optimized BaHfSb2I structure.

It has space group P4/mmm (No. 123), with a = 6.210 Å, b = 6.210 Å, c = 6.209 Å, α = 90.00°, β = 90.00° and γ = 90.00°. The inequivalent atoms are Ba at (0.000, 0.000, 0.000), Hf at (0.500, 0.500, 0.500), Sb at (0.000, 0.500, 0.000) and I at (0.000, 0.000, 0.500).

The calculation puts the mass density at 4.8 g/cm³.

Model B:
Density functional theory data (PBE) for a geometry-optimized BaHfSb2I structure.

It has space group P4/mmm (No. 123), with a = 5.556 Å, b = 5.556 Å, c = 5.897 Å, α = 90.00°, β = 90.00° and γ = 90.00°. The inequivalent atoms are Ba at (0.000, 0.000, 0.000), Hf at (0.500, 0.500, 0.500), Sb at (0.000, 0.500, 0.500) and I at (0.500, 0.500, 0.000).

The calculation puts the mass density at 6.3 g/cm³.

Bottom line: model B, by a margin of 1.712 eV/atom.